[1]
Re3GePd after structural relaxation. Source: Alexandria, functional GGA-PBE.

* formation energy from the elements: 1.832 eV per atom
* ρ: 13.38 g/cm³
* space group: Pm-3m, No. 221

a b c (Å): 4.507 4.507 4.507
angles (deg): 90.00 90.00 90.00
Element x y z (fractional)
Ge1 0.000 0.000 0.000
Re1 0.000 0.000 0.500
Pd1 0.500 0.500 0.500
Re2 0.500 0.000 0.000
Re3 0.000 0.500 0.000


[2]
CeLuSiPd after structural relaxation. Source: Alexandria, functional GGA-PBE.

* ρ: 8.49 g/cm³
* space group: F-43m, No. 216
* raw formation energy: -0.619 eV/atom

a b c (Å): 4.992 4.992 4.992
angles (deg): 60.00 60.00 60.00
Each line ends with the local moment (μB).
Element x y z (fractional)
Pd1 0.000 0.000 0.000  0.00
Ce1 0.750 0.750 0.750  0.70
Si1 0.500 0.500 0.500  0.00
Lu1 0.250 0.250 0.250  0.04


Question: Among the records above, which one has the lowest ρ?
Answer: CeLuSiPd